A geometry-optimized HoCr6Ge6 structure. Source: the Alexandria database, functional GGA-PBEsol.

a b c (Å): 5.0258 5.0258 8.2036
angles (deg): 90.00 90.00 120.00
Closest atoms and distances in Å follow each position.
Element x y z (fractional)
Ho 0.0000 0.0000 0.0000  8 Ge 2.83-2.90
Cr 0.0000 0.5000 0.2501  6 Ge 2.51-2.63, 4 Cr 2.51
Cr 0.0000 0.5000 0.7499  6 Ge 2.51-2.63, 4 Cr 2.51
Cr 0.5000 0.0000 0.2501  6 Ge 2.51-2.63, 4 Cr 2.51
Cr 0.5000 0.0000 0.7499  6 Ge 2.51-2.63, 4 Cr 2.51
Cr 0.5000 0.5000 0.2501  6 Ge 2.51-2.63, 4 Cr 2.51
Cr 0.5000 0.5000 0.7499  6 Ge 2.51-2.63, 4 Cr 2.51
Ge 0.0000 0.0000 0.3456  1 Ge 2.53, 6 Cr 2.63, 1 Ho 2.83
Ge 0.0000 0.0000 0.6544  1 Ge 2.53, 6 Cr 2.63, 1 Ho 2.83
Ge 0.3333 0.6667 0.0000  6 Cr 2.51
Ge 0.3333 0.6667 0.5000  6 Cr 2.51
Ge 0.6667 0.3333 0.0000  6 Cr 2.51
Ge 0.6667 0.3333 0.5000  6 Cr 2.51

Properties
- E_tot: -99.45 eV per cell
- D(E_F): 10.6 states/eV/f.u.
- E_form: -0.2625 eV per atom
- Spin magnetization: 0.0 μB/f.u.
- Crystal system: hexagonal